Computed, not measured: a geometry-optimized ZnBP2PbO9 structure at the PBE-GGA level of DFT. Values from VASP.

```
&SYSTEM
  ibrav = 0, nat = 28, ntyp = 5
/
ATOMIC_SPECIES
O 16.00 O.upf
Zn 65.41 Zn.upf
Pb 207.20 Pb.upf
B 10.81 B.upf
P 30.97 P.upf
CELL_PARAMETERS angstrom
-2.321 -0.279 4.785
-2.384 -7.791 -1.743
6.190 -2.758 4.641
ATOMIC_POSITIONS crystal
O 0.462 0.639 0.194
O 0.095 0.905 0.156
O 0.794 0.805 0.939
O 0.017 0.549 0.181
O 0.923 0.868 0.639
O 0.108 0.664 0.456
O 0.486 0.961 0.808
O 0.206 0.195 0.061
O 0.708 0.603 0.649
O 0.892 0.336 0.544
O 0.308 0.207 0.557
O 0.514 0.039 0.192
O 0.077 0.132 0.361
O 0.905 0.095 0.844
O 0.538 0.361 0.806
O 0.692 0.793 0.443
O 0.292 0.397 0.351
O 0.983 0.451 0.819
Zn 0.707 0.833 0.204
Zn 0.293 0.167 0.796
Pb 0.239 0.688 0.918
Pb 0.761 0.312 0.082
B 0.859 0.727 0.541
B 0.141 0.273 0.459
P 0.771 0.937 0.812
P 0.229 0.063 0.188
P 0.214 0.566 0.295
P 0.786 0.434 0.705
```

For the volume, the calculation gives 12.76 Å³/atom. For the total energy, the calculation gives -187.3 eV per cell. The symmetry is P-1.